Entry 1:
## PrThPb (PBE)

Data for PrThPb after structural relaxation.

Calculated values
energy of formation from the pure elements = -0.04 eV/atom
D(E_F) = 0.838 states/eV per atom
relative energy among the computed polymorphs = 33.1 kJ/mol of atoms

Cell lengths 8.728, 8.728, 8.728 Å; angles 35.95, 35.95, 35.95 degrees
Fractional coordinates of all 6 atoms:
Pr (0.134, 0.134, 0.134)
Pr (0.866, 0.866, 0.866)
Th (0.289, 0.289, 0.289)
Th (0.711, 0.711, 0.711)
Pb (0.426, 0.426, 0.426)
Pb (0.574, 0.574, 0.574)


Entry 2:
## Na2In5Ag2Pd (PBE)

Data for Na2In5Ag2Pd after structural relaxation.

Calculated values
energy of formation from the pure elements = -0.11 eV/atom
D(E_F) = 0.420 states/eV per atom

Cell lengths 11.146, 11.146, 3.829 Å; angles 90.00, 90.00, 90.00 degrees
Fractional coordinates of all 20 atoms:
Na (0.173, 0.327, 0.000)
Na (0.327, 0.827, 0.000)
Na (0.673, 0.173, 0.000)
Na (0.827, 0.673, 0.000)
In (0.000, 0.500, 0.500)
In (0.058, 0.813, 0.500)
In (0.187, 0.058, 0.500)
In (0.313, 0.558, 0.500)
In (0.442, 0.313, 0.500)
In (0.500, 0.000, 0.500)
In (0.558, 0.687, 0.500)
In (0.687, 0.442, 0.500)
In (0.813, 0.942, 0.500)
In (0.942, 0.187, 0.500)
Ag (0.135, 0.635, 0.000)
Ag (0.365, 0.135, 0.000)
Ag (0.635, 0.865, 0.000)
Ag (0.865, 0.365, 0.000)
Pd (0.000, 0.000, 0.000)
Pd (0.500, 0.500, 0.000)


Entry 3:
## Al2TlW (PBE)

Data for Al2TlW after structural relaxation.

Calculated values
energy of formation from the pure elements = 0.45 eV/atom
D(E_F) = 0.618 states/eV per atom
relative energy among the computed polymorphs = 15.9 kJ/mol of atoms

Cell lengths 4.954, 4.954, 2.922 Å; angles 90.00, 90.00, 90.00 degrees
Fractional coordinates of all 4 atoms:
Al (0.000, 0.500, 0.000)
Al (0.500, 0.000, 0.000)
Tl (0.000, 0.000, 0.500)
W (0.500, 0.500, 0.500)


Entry 4:
## Ba3SmIn2O6 (PBE)

Data for Ba3SmIn2O6 after structural relaxation.

Calculated values
D(E_F) = 0.301 states/eV per atom
formation energy (no corrections) = -2.246 eV per atom

Cell lengths 6.282, 6.282, 7.202 Å; angles 90.00, 90.00, 120.00 degrees
Fractional coordinates of all 12 atoms:
Ba (0.000, 0.000, 0.000)
Ba (0.333, 0.667, 0.622)
Ba (0.667, 0.333, 0.378)
Sm (0.000, 0.000, 0.500)
In (0.333, 0.667, 0.146)
In (0.667, 0.333, 0.854)
O (0.170, 0.339, 0.309)
O (0.170, 0.830, 0.309)
O (0.339, 0.170, 0.691)
O (0.661, 0.830, 0.309)
O (0.830, 0.170, 0.691)
O (0.830, 0.661, 0.691)


Entry 5:
## Pm3Er4Pb4 (PBE)

Data for Pm3Er4Pb4 after structural relaxation.

Calculated values
energy of formation from the pure elements = -0.26 eV/atom
D(E_F) = 1.346 states/eV per atom

Cell lengths 17.464, 17.464, 17.464 Å; angles 167.48, 162.92, 21.23 degrees
Fractional coordinates of all 11 atoms:
Pm (0.000, 0.000, 0.000)
Pm (0.353, 0.853, 0.500)
Pm (0.647, 0.147, 0.500)
Er (0.094, 0.594, 0.500)
Er (0.263, 0.263, 0.000)
Er (0.737, 0.737, 0.000)
Er (0.906, 0.406, 0.500)
Pb (0.184, 0.684, 0.500)
Pb (0.452, 0.452, 0.000)
Pb (0.548, 0.548, 0.000)
Pb (0.816, 0.316, 0.500)


Entry 6:
## AcBRhO5 (PBE)

Data for AcBRhO5 after structural relaxation.

Calculated values
D(E_F) = 0.438 states/eV per atom
formation energy (no corrections) = -2.050 eV per atom

Cell lengths 5.561, 5.561, 6.983 Å; angles 102.79, 102.79, 108.03 degrees
Fractional coordinates of all 16 atoms:
Ac (0.147, 0.853, 0.750)
Ac (0.853, 0.147, 0.250)
B (0.198, 0.802, 0.250)
B (0.802, 0.198, 0.750)
Rh (0.500, 0.500, 0.000)
Rh (0.500, 0.500, 0.500)
O (0.076, 0.260, 0.911)
O (0.186, 0.614, 0.371)
O (0.260, 0.076, 0.411)
O (0.386, 0.814, 0.129)
O (0.422, 0.578, 0.750)
O (0.578, 0.422, 0.250)
O (0.614, 0.186, 0.871)
O (0.740, 0.924, 0.589)
O (0.814, 0.386, 0.629)
O (0.924, 0.740, 0.089)


Entry 7:
## Rh2SeCl (PBE)

Data for Rh2SeCl after structural relaxation.

Calculated values
D(E_F) = 0.638 states/eV per atom
formation energy (no corrections) = -0.060 eV per atom
relative energy among the computed polymorphs = 0.0 kJ/mol of atoms

Cell lengths 3.821, 3.821, 7.027 Å; angles 106.38, 106.38, 60.12 degrees
Fractional coordinates of all 4 atoms:
Rh (0.000, 0.000, 0.000)
Rh (0.249, 0.249, 0.754)
Se (0.544, 0.544, 0.643)
Cl (0.722, 0.722, 0.159)


Entry 8:
## Li4Pm3ZrSe8 (PBE)

Data for Li4Pm3ZrSe8 after structural relaxation.

Calculated values
D(E_F) = 0.273 states/eV per atom
formation energy (no corrections) = -1.562 eV per atom

Cell lengths 8.052, 8.052, 8.052 Å; angles 60.78, 60.78, 60.78 degrees
Fractional coordinates of all 16 atoms:
Li (0.000, 0.000, 0.000)
Li (0.000, 0.500, 0.500)
Li (0.500, 0.000, 0.500)
Li (0.500, 0.500, 0.000)
Pm (0.000, 0.000, 0.500)
Pm (0.000, 0.500, 0.000)
Pm (0.500, 0.000, 0.000)
Zr (0.500, 0.500, 0.500)
Se (0.255, 0.255, 0.255)
Se (0.257, 0.257, 0.731)
Se (0.257, 0.731, 0.257)
Se (0.269, 0.743, 0.743)
Se (0.731, 0.257, 0.257)
Se (0.743, 0.269, 0.743)
Se (0.743, 0.743, 0.269)
Se (0.745, 0.745, 0.745)


Entry 9:
## Li3Mg (PBE)

Data for Li3Mg after structural relaxation.

Calculated values
energy of formation from the pure elements = -0.03 eV/atom
D(E_F) = 0.401 states/eV per atom

Cell lengths 3.243, 5.001, 5.592 Å; angles 111.19, 106.44, 90.25 degrees
Fractional coordinates of all 4 atoms:
Li (0.000, 0.000, 0.000)
Li (0.257, 0.752, 0.514)
Li (0.514, 0.511, 0.029)
Mg (0.758, 0.252, 0.515)


Entry 10:
## Nb2ZnCu3 (PBE)

Data for Nb2ZnCu3 after structural relaxation.

Calculated values
energy of formation from the pure elements = 0.03 eV/atom
D(E_F) = 1.277 states/eV per atom

Cell lengths 4.989, 4.989, 7.960 Å; angles 90.00, 90.00, 120.00 degrees
Fractional coordinates of all 12 atoms:
Nb (0.333, 0.667, 0.059)
Nb (0.333, 0.667, 0.441)
Nb (0.667, 0.333, 0.559)
Nb (0.667, 0.333, 0.941)
Zn (0.000, 0.000, 0.000)
Zn (0.000, 0.000, 0.500)
Cu (0.171, 0.341, 0.750)
Cu (0.171, 0.829, 0.750)
Cu (0.341, 0.171, 0.250)
Cu (0.659, 0.829, 0.750)
Cu (0.829, 0.171, 0.250)
Cu (0.829, 0.659, 0.250)


Entry 11:
## Sc2CoBr (PBE)

Data for Sc2CoBr after structural relaxation.

Calculated values
D(E_F) = 0.822 states/eV per atom
formation energy (no corrections) = -0.190 eV per atom
relative energy among the computed polymorphs = 43.7 kJ/mol of atoms

Cell lengths 6.103, 6.103, 6.103 Å; angles 112.19, 112.19, 104.16 degrees
Fractional coordinates of all 8 atoms:
Sc (0.082, 0.625, 0.957)
Sc (0.375, 0.332, 0.457)
Sc (0.668, 0.125, 0.043)
Sc (0.875, 0.918, 0.543)
Co (0.000, 0.000, 0.000)
Co (0.750, 0.250, 0.500)
Br (0.250, 0.750, 0.500)
Br (0.500, 0.500, 0.000)


Entry 12:
## NbRh2 (PBE)

Data for NbRh2 after structural relaxation.

Calculated values
energy of formation from the pure elements = -0.36 eV/atom
D(E_F) = 0.688 states/eV per atom

Cell lengths 4.835, 2.808, 6.939 Å; angles 90.00, 101.84, 90.00 degrees
Fractional coordinates of all 6 atoms:
Nb (0.235, 0.000, 0.174)
Nb (0.765, 0.000, 0.826)
Rh (0.000, 0.000, 0.500)
Rh (0.268, 0.500, 0.836)
Rh (0.500, 0.500, 0.500)
Rh (0.732, 0.500, 0.164)